This record from Alexandria describes a relaxed BaCu3Sb3 crystal. The functional is PBE-GGA.

The structure belongs to space group P6_3/m (No. 176); the cell edges are 9.4727, 9.4727 and 4.4427 Å and the angles 90.00°, 90.00° and 120.00°. Symmetry generates all atoms from Ba at (0.3333, 0.6667, 0.2500), Cu at (0.0374, 0.1793, 0.2500) and Sb at (0.0662, 0.3545, 0.7500).

As for the total energy: -4.0001 eV per atom. The value obtained for the density of states at the Fermi level is 9.81 states/eV per cell. The value obtained for the raw formation energy is -0.20 eV/atom. The value obtained for the calculated volume is 24.66 Å³ per atom.

***

This record from Alexandria describes a relaxed SmErTm2As4 crystal. The functional is PBE-GGA.

The structure belongs to space group P2/m (No. 10); the cell edges are 7.111, 4.109 and 7.113 Å and the angles 90.00°, 109.48° and 90.00°. Symmetry generates all atoms from Sm at (0.000, 0.000, 0.000), Er at (0.000, 0.500, 0.500), Tm at (0.500, 0.000, 0.500), Tm at (0.500, 0.500, 0.000), As at (0.254, 0.000, 0.748) and As at (0.257, 0.500, 0.256).

As for the total energy: -6.1117 eV per atom. The value obtained for the density of states at the Fermi level is 0.99 states/eV per cell. The value obtained for the calculated volume is 24.49 Å³ per atom.

***

This record from Alexandria describes a relaxed GdZn2Hg crystal. The functional is PBE-GGA.

The structure belongs to space group P4/mmm (No. 123); the cell edges are 3.523, 3.523 and 6.877 Å and the angles 90.00°, 90.00° and 90.00°. Symmetry generates all atoms from Gd at (0.000, 0.000, 0.000), Zn at (0.500, 0.500, 0.273) and Hg at (0.000, 0.000, 0.500).

As for the total energy: -4.3932 eV per atom. The value obtained for the density of states at the Fermi level is 2.30 states/eV per cell. The value obtained for the calculated volume is 21.33 Å³ per atom.